This record from Alexandria describes crystalline HfZr2Sc at its relaxed geometry. The functional is GGA-PBE.

Values from the calculation:
energy relative to the elements: 537 meV/atom
energy relative to the lowest polymorph listed for this composition: 0.5552 eV/atom
theoretical density: 7.2 g cm⁻³

```
data_HfZr2Sc
_chemical_formula_sum 'Hf4 Zr8 Sc4'
_symmetry_space_group_name_H-M 'I -4 2 d'
_symmetry_Int_Tables_number 122
_symmetry_space_group_name_Hall 'I -4 2bw'
_cell_length_a 7.826
_cell_length_b 7.826
_cell_length_c 6.147
_cell_angle_alpha 90.00
_cell_angle_beta 90.00
_cell_angle_gamma 90.00
loop_
_atom_site_label
_atom_site_type_symbol
_atom_site_fract_x
_atom_site_fract_y
_atom_site_fract_z
Hf1 Hf 0.000 0.000 0.000
Zr1 Zr 0.247 0.250 0.625
Sc1 Sc 0.000 0.000 0.500
```


This record from Alexandria describes crystalline HfZr2Sc at its relaxed geometry. The functional is GGA-PBE.

Values from the calculation:
energy relative to the elements: -18 meV/atom
energy relative to the lowest polymorph listed for this composition: 0.0000 eV/atom
theoretical density: 7.3 g cm⁻³

```
data_HfZr2Sc
_chemical_formula_sum 'Hf4 Zr8 Sc4'
_symmetry_space_group_name_H-M 'P n m a'
_symmetry_Int_Tables_number 62
_cell_length_a 5.612
_cell_length_b 5.089
_cell_length_c 12.988
_cell_angle_alpha 90.00
_cell_angle_beta 90.00
_cell_angle_gamma 90.00
loop_
_symmetry_equiv_pos_as_xyz
'x,y,z'
'-x,-y,-z'
'-x+1/2,-y,z+1/2'
'x+1/2,y,-z+1/2'
'x+1/2,-y+1/2,-z+1/2'
'-x+1/2,y+1/2,z+1/2'
'-x,y+1/2,-z'
'x,-y+1/2,z'
loop_
_atom_site_label
_atom_site_type_symbol
_atom_site_fract_x
_atom_site_fract_y
_atom_site_fract_z
Hf1 Hf 0.079 0.250 0.061
Zr1 Zr 0.078 0.250 0.815
Zr2 Zr 0.085 0.250 0.311
Sc1 Sc 0.085 0.250 0.562
```


This record from Alexandria describes crystalline HfZrSc3 at its relaxed geometry. The functional is GGA-PBE.

Values from the calculation:
energy relative to the elements: 893 meV/atom
energy relative to the lowest polymorph listed for this composition: 0.8657 eV/atom
theoretical density: 5.2 g cm⁻³

```
data_HfZrSc3
_chemical_formula_sum 'Hf1 Zr1 Sc3'
_symmetry_space_group_name_H-M 'P m -3 m'
_symmetry_Int_Tables_number 221
_symmetry_space_group_name_Hall '-P 4 2 3'
_cell_length_a 5.057
_cell_length_b 5.057
_cell_length_c 5.057
_cell_angle_alpha 90.00
_cell_angle_beta 90.00
_cell_angle_gamma 90.00
loop_
_atom_site_label
_atom_site_type_symbol
_atom_site_fract_x
_atom_site_fract_y
_atom_site_fract_z
Hf1 Hf 0.000 0.000 0.000
Zr1 Zr 0.500 0.500 0.500
Sc1 Sc 0.000 0.500 0.500
```


This record from Alexandria describes crystalline Hf3Zr7Sc at its relaxed geometry. The functional is GGA-PBE.

Values from the calculation:
energy relative to the elements: 266 meV/atom
theoretical density: 7.7 g cm⁻³

```
data_Hf3Zr7Sc
_chemical_formula_sum 'Hf6 Zr14 Sc2'
_symmetry_space_group_name_H-M 'C 1 2/m 1'
_symmetry_Int_Tables_number 12
_cell_length_a 11.320
_cell_length_b 10.104
_cell_length_c 5.103
_cell_angle_alpha 90.00
_cell_angle_beta 116.45
_cell_angle_gamma 90.00
loop_
_symmetry_equiv_pos_as_xyz
'x,y,z'
'-x,-y,-z'
'-x,y,-z'
'x,-y,z'
'x+1/2,y+1/2,z'
'-x+1/2,-y+1/2,-z'
'-x+1/2,y+1/2,-z'
'x+1/2,-y+1/2,z'
loop_
_atom_site_label
_atom_site_type_symbol
_atom_site_fract_x
_atom_site_fract_y
_atom_site_fract_z
Hf1 Hf 0.000 0.000 0.000
Hf2 Hf 0.000 0.210 0.500
Zr1 Zr 0.000 0.500 0.500
Zr2 Zr 0.199 0.200 0.198
Zr3 Zr 0.200 0.000 0.697
Sc1 Sc 0.000 0.500 0.000
```


This record from Alexandria describes crystalline HfZr3Sc at its relaxed geometry. The functional is GGA-PBE.

Values from the calculation:
energy relative to the elements: 163 meV/atom
energy relative to the lowest polymorph listed for this composition: 0.0000 eV/atom
theoretical density: 6.9 g cm⁻³

```
data_HfZr3Sc
_chemical_formula_sum 'Hf4 Zr12 Sc4'
_symmetry_space_group_name_H-M 'C 1 2/m 1'
_symmetry_Int_Tables_number 12
_cell_length_a 16.166
_cell_length_b 3.078
_cell_length_c 10.255
_cell_angle_alpha 90.00
_cell_angle_beta 109.62
_cell_angle_gamma 90.00
loop_
_symmetry_equiv_pos_as_xyz
'x,y,z'
'-x,-y,-z'
'-x,y,-z'
'x,-y,z'
'x+1/2,y+1/2,z'
'-x+1/2,-y+1/2,-z'
'-x+1/2,y+1/2,-z'
'x+1/2,-y+1/2,z'
loop_
_atom_site_label
_atom_site_type_symbol
_atom_site_fract_x
_atom_site_fract_y
_atom_site_fract_z
Hf1 Hf 0.101 0.000 0.043
Zr1 Zr 0.006 0.500 0.227
Zr2 Zr 0.195 0.000 0.360
Zr3 Zr 0.196 0.500 0.870
Sc1 Sc 0.105 0.500 0.546
```


This record from Alexandria describes crystalline HfZr3Sc6 at its relaxed geometry. The functional is GGA-PBE.

Values from the calculation:
energy relative to the elements: 22 meV/atom
energy relative to the lowest polymorph listed for this composition: 0.0000 eV/atom
theoretical density: 5.1 g cm⁻³

```
data_HfZr3Sc6
_chemical_formula_sum 'Hf2 Zr6 Sc12'
_symmetry_space_group_name_H-M 'P 1 21/m 1'
_symmetry_Int_Tables_number 11
_cell_length_a 10.097
_cell_length_b 3.201
_cell_length_c 15.436
_cell_angle_alpha 90.00
_cell_angle_beta 109.03
_cell_angle_gamma 90.00
loop_
_symmetry_equiv_pos_as_xyz
'x,y,z'
'-x,-y,-z'
'-x,y+1/2,-z'
'x,-y+1/2,z'
loop_
_atom_site_label
_atom_site_type_symbol
_atom_site_fract_x
_atom_site_fract_y
_atom_site_fract_z
Hf1 Hf 0.156 0.250 0.318
Zr1 Zr 0.062 0.250 0.608
Zr2 Zr 0.245 0.750 0.997
Zr3 Zr 0.351 0.750 0.700
Sc1 Sc 0.041 0.750 0.105
Sc2 Sc 0.149 0.750 0.799
Sc3 Sc 0.249 0.750 0.503
Sc4 Sc 0.340 0.250 0.186
Sc5 Sc 0.440 0.250 0.900
Sc6 Sc 0.455 0.750 0.391
```